VASP calculation (meta-GGA SCAN) on Zr2TlAu at its PBEsol-relaxed geometry.

The density of states at the Fermi level comes out at 3.8 states/eV per cell. As for the raw total energy: -51.184 eV per atom. The calculation puts the formation energy at -456 meV/atom.

It has space group Pmmm (No. 47), with a = 3.146 Å, b = 4.161 Å, c = 6.182 Å, α = 90.00°, β = 90.00° and γ = 90.00°. Symmetry generates all atoms from Zr at (0.000, 0.000, 0.239), Tl at (0.500, 0.500, 0.500) and Au at (0.500, 0.500, 0.000).